Entry 1:
Material: Er7MgSc2
Method: DFT, PBE-GGA
State: optimized geometry

Properties
As for the space group: Cmmm, No. 65. The final energy is -3.97 eV/atom.

a = 5.4453 Å, b = 8.5814 Å, c = 8.5814 Å
α = 119.17°, β = 90.00°, γ = 90.00°
Closest atoms and distances in Å follow each position.
Fractional coordinates of all 10 atoms:
1 Er 0.5000 0.0642 0.2971  2 Sc 3.02-3.10, 2 Er 3.14-3.27
2 Mg 0.0000 0.0000 0.0000  10 Er 3.54-3.58
3 Er 0.5000 0.9358 0.7029  2 Sc 3.02-3.10, 2 Er 3.14-3.27
4 Er 0.0000 0.2393 0.7607  2 Sc 2.83
5 Er 0.0000 0.7607 0.2393  2 Sc 2.83
6 Sc 0.5000 0.7091 0.2909  7 Er 2.83-3.10
7 Sc 0.5000 0.2909 0.7091  7 Er 2.83-3.10
8 Er 0.5000 0.5000 0.5000  2 Sc 3.09, 4 Er 3.27
9 Er 0.5000 0.2971 0.0642  2 Sc 3.02-3.10, 2 Er 3.14-3.27
10 Er 0.5000 0.7029 0.9358  2 Sc 3.02-3.10, 2 Er 3.14-3.27


Entry 2:
Material: ErMgSc2
Method: DFT, PBE-GGA
State: optimized geometry

Properties
As for the space group: R-3m, No. 166. The final energy is -4.67 eV/atom.

a = 3.3067 Å, b = 3.3067 Å, c = 11.0140 Å
α = 81.37°, β = 81.37°, γ = 60.00°
Closest atoms and distances in Å follow each position.
Fractional coordinates of all 4 atoms:
1 Sc 0.7481 0.7481 0.7557  3 Mg 3.27, 6 Sc 3.31, 3 Er 3.37
2 Mg 0.0000 0.0000 0.0000  6 Sc 3.27, 6 Mg 3.31
3 Er 0.5000 0.5000 0.5000  6 Er 3.31, 6 Sc 3.37
4 Sc 0.2519 0.2519 0.2443  3 Mg 3.27, 6 Sc 3.31, 3 Er 3.37


Entry 3:
Material: Er6MgSc3
Method: DFT, PBE-GGA
State: optimized geometry

Properties
As for the space group: Cmc2_1, No. 36. The final energy is -4.70 eV/atom.

a = 6.2209 Å, b = 10.7807 Å, c = 10.7807 Å
α = 128.82°, β = 90.00°, γ = 90.00°
Closest atoms and distances in Å follow each position.
Fractional coordinates of all 20 atoms:
1 Sc 0.4865 0.2951 0.0450  5 Er 3.09-3.39, 1 Mg 3.15, 2 Sc 3.17-3.22
2 Er 0.7734 0.2916 0.7084  1 Sc 3.07, 1 Mg 3.21, 4 Er 3.25-3.31
3 Sc 0.9865 0.7049 0.9550  5 Er 3.09-3.39, 1 Mg 3.15, 2 Sc 3.17-3.22
4 Er 0.3287 0.1007 0.5334  3 Sc 3.09-3.36, 3 Er 3.25-3.41
5 Er 0.8287 0.8993 0.4666  3 Sc 3.09-3.36, 3 Er 3.25-3.41
6 Sc 0.5917 0.5879 0.4121  5 Er 3.07-3.36, 2 Sc 3.22
7 Er 0.8287 0.5334 0.1007  3 Sc 3.09-3.36, 3 Er 3.25-3.41
8 Mg 0.5586 0.8458 0.1542  2 Er 3.09-3.21, 2 Sc 3.15
9 Sc 0.9865 0.0450 0.2951  5 Er 3.09-3.39, 1 Mg 3.15, 2 Sc 3.17-3.22
10 Er 0.5637 0.2627 0.3720  3 Sc 3.26-3.45, 4 Er 3.40-3.60, 1 Mg 3.53
11 Er 0.0637 0.7373 0.6280  3 Sc 3.26-3.45, 4 Er 3.40-3.60, 1 Mg 3.53
12 Er 0.0637 0.3720 0.2627  3 Sc 3.26-3.45, 4 Er 3.40-3.60, 1 Mg 3.53
13 Er 0.5637 0.6280 0.7373  3 Sc 3.26-3.45, 4 Er 3.40-3.60, 1 Mg 3.53
14 Sc 0.0917 0.4121 0.5879  5 Er 3.07-3.36, 2 Sc 3.22
15 Sc 0.4865 0.9550 0.7049  5 Er 3.09-3.39, 1 Mg 3.15, 2 Sc 3.17-3.22
16 Er 0.3039 0.9825 0.0175  1 Mg 3.09, 4 Er 3.18-3.44, 4 Sc 3.28-3.39
17 Er 0.2734 0.7084 0.2916  1 Sc 3.07, 1 Mg 3.21, 4 Er 3.25-3.31
18 Er 0.8039 0.0175 0.9825  1 Mg 3.09, 4 Er 3.18-3.44, 4 Sc 3.28-3.39
19 Er 0.3287 0.4666 0.8993  3 Sc 3.09-3.36, 3 Er 3.25-3.41
20 Mg 0.0586 0.1542 0.8458  2 Er 3.09-3.21, 2 Sc 3.15


Entry 4:
Material: Er3Mg12Sc
Method: DFT, PBE-GGA
State: optimized geometry

Properties
As for the space group: P4/mmm, No. 123. The final energy is -2.49 eV/atom.

a = 4.5739 Å, b = 4.5739 Å, c = 18.7391 Å
α = 90.00°, β = 90.00°, γ = 90.00°
Closest atoms and distances in Å follow each position.
Fractional coordinates of all 16 atoms:
1 Mg 0.0000 0.5000 0.6269  8 Mg 3.23-3.30, 4 Er 3.30
2 Er 0.0000 0.0000 0.5000  12 Mg 3.23-3.30
3 Sc 0.0000 0.0000 0.0000  12 Mg 3.21-3.23
4 Mg 0.5000 0.0000 0.1202  8 Mg 3.21-3.29, 2 Sc 3.21, 2 Er 3.29
5 Er 0.0000 0.0000 0.2464  12 Mg 3.23-3.30
6 Mg 0.0000 0.5000 0.3731  8 Mg 3.23-3.30, 4 Er 3.30
7 Mg 0.5000 0.5000 0.0000  8 Mg 3.21, 4 Sc 3.23
8 Er 0.0000 0.0000 0.7536  12 Mg 3.23-3.30
9 Mg 0.0000 0.5000 0.1202  8 Mg 3.21-3.29, 2 Sc 3.21, 2 Er 3.29
10 Mg 0.0000 0.5000 0.8798  8 Mg 3.21-3.29, 2 Sc 3.21, 2 Er 3.29
11 Mg 0.5000 0.5000 0.2465  4 Er 3.23, 8 Mg 3.29-3.30
12 Mg 0.5000 0.0000 0.3731  8 Mg 3.23-3.30, 4 Er 3.30
13 Mg 0.5000 0.5000 0.5000  4 Er 3.23, 8 Mg 3.30
14 Mg 0.5000 0.5000 0.7535  4 Er 3.23, 8 Mg 3.29-3.30
15 Mg 0.5000 0.0000 0.6269  8 Mg 3.23-3.30, 4 Er 3.30
16 Mg 0.5000 0.0000 0.8798  8 Mg 3.21-3.29, 2 Sc 3.21, 2 Er 3.29


Number 1: energy of formation 62.53 kJ/mol of atoms. Number 2: energy of formation 3.84 kJ/mol of atoms. Number 3: energy of formation 9.72 kJ/mol of atoms. Number 4: energy of formation -4.50 kJ/mol of atoms.